No. 1
# SrZnSn2Cl

A relaxed SrZnSn2Cl crystal (PBE-GGA, the Alexandria database).

a = 5.4530 Å, b = 5.4530 Å, c = 5.5504 Å
α = 90.00°, β = 90.00°, γ = 90.00°
Atoms (fractional coordinates):
Sr 0.0000 0.0000 0.0000
Zn 0.5000 0.5000 0.0000
Sn 0.0000 0.5000 0.5000
Sn 0.5000 0.0000 0.5000
Cl 0.0000 0.0000 0.5000

Raw total energy (eV/atom): -2.563
Formation energy from raw total energies (eV per formula unit): -0.01
Space group: No. 123
Fermi-level density of states (states/eV/f.u.): 4.4

---

No. 2
# In2FeTe

A relaxed In2FeTe crystal (PBE-GGA, the Alexandria database).

a = 7.3781 Å, b = 7.3781 Å, c = 7.3781 Å
α = 154.91°, β = 145.38°, γ = 43.23°
Atoms (fractional coordinates):
In 0.1831 0.1831 0.0000
In 0.8169 0.8169 0.0000
Fe 0.0000 0.5000 0.5000
Te 0.5000 0.0000 0.5000

Raw total energy (eV/atom): -4.046
Formation energy from raw total energies (eV per formula unit): 0.90
Space group: No. 71
Fermi-level density of states (states/eV/f.u.): 3.0

---

No. 3
# YAg3Hg

A relaxed YAg3Hg crystal (PBE-GGA, the Alexandria database).

a = 14.5451 Å, b = 14.5451 Å, c = 3.3551 Å
α = 90.00°, β = 90.00°, γ = 161.54°
Atoms (fractional coordinates):
Y 0.1777 0.8223 0.0000
Y 0.8223 0.1777 0.0000
Ag 0.0648 0.9352 0.5000
Ag 0.2744 0.7256 0.5000
Ag 0.4535 0.5465 0.0000
Ag 0.5465 0.4535 0.0000
Ag 0.7256 0.2744 0.5000
Ag 0.9352 0.0648 0.5000
Hg 0.3730 0.6270 0.5000
Hg 0.6270 0.3730 0.5000

DFT formation energy (eV/atom): -0.070
Raw total energy (eV/atom): -3.134
Energy above the lowest structure with this stoichiometry (meV per atom): 0
Space group: No. 65
Fermi-level density of states (states/eV/f.u.): 2.5

---

No. 4
# KIn2F6

A relaxed KIn2F6 crystal (PBE-GGA, the Alexandria database).

a = 5.9645 Å, b = 5.9645 Å, c = 5.5704 Å
α = 90.00°, β = 90.00°, γ = 120.00°
Atoms (fractional coordinates):
K 0.0000 0.0000 0.0000
In 0.3333 0.6667 0.5000
In 0.6667 0.3333 0.5000
F 0.0000 0.3737 0.7073
F 0.0000 0.6263 0.2927
F 0.3737 0.0000 0.7073
F 0.3737 0.3737 0.2927
F 0.6263 0.0000 0.2927
F 0.6263 0.6263 0.7073

Raw total energy (eV/atom): -4.441
Energy above the lowest structure with this stoichiometry (meV per atom): 0
Formation energy from raw total energies (eV per formula unit): -22.17
Space group: No. 162
Fermi-level density of states (states/eV/f.u.): 1.9

---

No. 5
# RbCd2Hg

A relaxed RbCd2Hg crystal (PBE-GGA, the Alexandria database).

a = 7.0737 Å, b = 7.0737 Å, c = 7.0737 Å
α = 42.15°, β = 42.15°, γ = 42.15°
Atoms (fractional coordinates):
Rb 0.0000 0.0000 0.0000
Cd 0.1957 0.1957 0.1957
Cd 0.8043 0.8043 0.8043
Hg 0.5000 0.5000 0.5000

DFT formation energy (eV/atom): -0.085
Raw total energy (eV/atom): -0.860
Space group: No. 166
Fermi-level density of states (states/eV/f.u.): 1.4

---

No. 6
# LuPuCd2

A relaxed LuPuCd2 crystal (PBE-GGA, the Alexandria database).

a = 5.4199 Å, b = 5.4199 Å, c = 3.5279 Å
α = 90.00°, β = 90.00°, γ = 90.00°
Atoms (fractional coordinates):
Lu 0.0000 0.0000 0.0000
Pu 0.5000 0.5000 0.0000
Cd 0.0000 0.5000 0.5000
Cd 0.5000 0.0000 0.5000

DFT formation energy (eV/atom): -0.100
Raw total energy (eV/atom): -5.271
Energy above the lowest structure with this stoichiometry (meV per atom): 0
Space group: No. 123
Fermi-level density of states (states/eV/f.u.): 9.3